No. 1
First-principles (PBE) data for crystalline NdYN at its relaxed geometry, as listed in the Alexandria database.

Structure (CIF):
```
data_NdYN
_space_group_name_H-M_alt 'F -4 3 m'
_space_group_IT_number 216
_space_group_name_Hall 'F -4 2 3'
_cell_length_a 6.148
_cell_length_b 6.148
_cell_length_c 6.148
_cell_angle_alpha 90.00
_cell_angle_beta 90.00
_cell_angle_gamma 90.00
loop_
_atom_site_label
_atom_site_fract_x
_atom_site_fract_y
_atom_site_fract_z
Nd1 0.000 0.000 0.000
Y1 0.000 0.000 0.500
N1 0.250 0.250 0.250
```

Calculated values
ΔE to the lowest computed polymorph: 635 meV per atom

No. 2
First-principles (PBE) data for crystalline KPbAuCl6 at its relaxed geometry, as listed in the Alexandria database.

Structure (CIF):
```
data_KPbAuCl6
_space_group_name_H-M_alt 'P 3 1 2'
_space_group_IT_number 149
_cell_length_a 7.1491
_cell_length_b 7.1491
_cell_length_c 6.7393
_cell_angle_alpha 90.00
_cell_angle_beta 90.00
_cell_angle_gamma 120.00
loop_
_space_group_symop_operation_xyz
'x,y,z'
'-y,x-y,z'
'-x+y,-x,z'
'-y,-x,-z'
'-x+y,y,-z'
'x,x-y,-z'
loop_
_atom_site_label
_atom_site_fract_x
_atom_site_fract_y
_atom_site_fract_z
K1 0.0000 0.0000 0.0000
Pb1 0.3333 0.6667 0.5000
Au1 0.6667 0.3333 0.5000
Cl1 0.3855 0.0401 0.7212
```

Calculated values
Energy: -0.10954 Ha/atom

No. 3
First-principles (PBE) data for crystalline SrPm2Ag2Pb2 at its relaxed geometry, as listed in the Alexandria database.

Structure (CIF):
```
data_SrPm2Ag2Pb2
_space_group_name_H-M_alt 'R -3 m'
_space_group_IT_number 166
_space_group_name_Hall '-R 3 2"'
_cell_length_a 5.0329
_cell_length_b 5.0329
_cell_length_c 28.2430
_cell_angle_alpha 90.00
_cell_angle_beta 90.00
_cell_angle_gamma 120.00
loop_
_atom_site_label
_atom_site_fract_x
_atom_site_fract_y
_atom_site_fract_z
Sr1 0.0000 0.0000 0.0000
Pm1 0.0000 0.0000 0.1375
Ag1 0.0000 0.0000 0.4443
Pb1 0.0000 0.0000 0.2597
```

Calculated values
Energy: -0.14046 Ha/atom

No. 4
First-principles (PBE) data for crystalline ScP2Pt at its relaxed geometry, as listed in the Alexandria database.

Structure (CIF):
```
data_ScP2Pt
_space_group_name_H-M_alt 'I -4 2 d'
_space_group_IT_number 122
_space_group_name_Hall 'I -4 2bw'
_cell_length_a 4.366
_cell_length_b 4.366
_cell_length_c 15.561
_cell_angle_alpha 90.00
_cell_angle_beta 90.00
_cell_angle_gamma 90.00
loop_
_atom_site_label
_atom_site_fract_x
_atom_site_fract_y
_atom_site_fract_z
Sc1 0.000 0.000 0.000
P1 0.192 0.250 0.625
Pt1 0.000 0.000 0.500
```

Calculated values
ΔE to the lowest computed polymorph: 279 meV per atom

Please write out number 2 again, unchanged.
First-principles (PBE) data for crystalline KPbAuCl6 at its relaxed geometry, as listed in the Alexandria database.

Structure (CIF):
```
data_KPbAuCl6
_space_group_name_H-M_alt 'P 3 1 2'
_space_group_IT_number 149
_cell_length_a 7.1491
_cell_length_b 7.1491
_cell_length_c 6.7393
_cell_angle_alpha 90.00
_cell_angle_beta 90.00
_cell_angle_gamma 120.00
loop_
_space_group_symop_operation_xyz
'x,y,z'
'-y,x-y,z'
'-x+y,-x,z'
'-y,-x,-z'
'-x+y,y,-z'
'x,x-y,-z'
loop_
_atom_site_label
_atom_site_fract_x
_atom_site_fract_y
_atom_site_fract_z
K1 0.0000 0.0000 0.0000
Pb1 0.3333 0.6667 0.5000
Au1 0.6667 0.3333 0.5000
Cl1 0.3855 0.0401 0.7212
```

Calculated values
Energy: -0.10954 Ha/atom